# 1
The following is a DFT calculation (GGA-PBE) of a relaxed SbPd3 crystal.

a b c (Å): 6.4394 6.4394 6.4394
angles (deg): 90.00 90.00 90.00
With the nearest neighbours (Å) after each atom.
Positions (direct):
1 Sb 0.0000 0.0000 0.0000  8 Pd 2.79
2 Sb 0.0000 0.5000 0.5000  8 Pd 2.79
3 Sb 0.5000 0.0000 0.5000  8 Pd 2.79
4 Sb 0.5000 0.5000 0.0000  8 Pd 2.79
5 Pd 0.0000 0.0000 0.5000  8 Pd 2.79
6 Pd 0.0000 0.5000 0.0000  8 Pd 2.79
7 Pd 0.2500 0.2500 0.2500  4 Sb 2.79, 4 Pd 2.79
8 Pd 0.2500 0.2500 0.7500  4 Sb 2.79, 4 Pd 2.79
9 Pd 0.2500 0.7500 0.2500  4 Sb 2.79, 4 Pd 2.79
10 Pd 0.2500 0.7500 0.7500  4 Sb 2.79, 4 Pd 2.79
11 Pd 0.5000 0.0000 0.0000  8 Pd 2.79
12 Pd 0.5000 0.5000 0.5000  8 Pd 2.79
13 Pd 0.7500 0.2500 0.2500  4 Sb 2.79, 4 Pd 2.79
14 Pd 0.7500 0.2500 0.7500  4 Sb 2.79, 4 Pd 2.79
15 Pd 0.7500 0.7500 0.2500  4 Sb 2.79, 4 Pd 2.79
16 Pd 0.7500 0.7500 0.7500  4 Sb 2.79, 4 Pd 2.79

Results
The final energy is -5.280 eV per atom. The value obtained for the uncorrected formation energy is -0.3549 eV per atom. Its symmetry is Fm-3m, No. 225. As for the theoretical density: 10.97 g cm⁻³. For the total magnetic moment, the calculation gives 0.0 μB per cell.

---

# 2
The following is a DFT calculation (GGA-PBE) of a relaxed SbPd crystal.

a b c (Å): 5.0445 13.1971 4.5029
angles (deg): 90.00 90.00 90.00
With the nearest neighbours (Å) after each atom.
Positions (direct):
1 Sb 0.2500 0.1274 0.1170  5 Pd 2.64-2.84
2 Sb 0.2500 0.3726 0.1170  5 Pd 2.64-2.84
3 Sb 0.2500 0.7500 0.2521  4 Pd 2.61-2.67
4 Sb 0.7500 0.2500 0.7479  4 Pd 2.61-2.67
5 Sb 0.7500 0.6274 0.8830  5 Pd 2.64-2.84
6 Sb 0.7500 0.8726 0.8830  5 Pd 2.64-2.84
7 Pd 0.2500 0.2500 0.5975  6 Sb 2.61-2.84
8 Pd 0.2500 0.5682 0.9935  4 Sb 2.64-2.69
9 Pd 0.2500 0.9318 0.9935  4 Sb 2.64-2.69
10 Pd 0.7500 0.0682 0.0065  4 Sb 2.64-2.69
11 Pd 0.7500 0.4318 0.0065  4 Sb 2.64-2.69
12 Pd 0.7500 0.7500 0.4025  6 Sb 2.61-2.84

Results
The final energy is -4.882 eV per atom. The value obtained for the uncorrected formation energy is -0.2246 eV per atom. Its symmetry is Pmmn, No. 59. As for the theoretical density: 7.58 g cm⁻³. For the total magnetic moment, the calculation gives 0.0 μB per cell.

---

# 3
The following is a DFT calculation (GGA-PBE) of a relaxed SbPd crystal.

a b c (Å): 6.7420 3.9053 3.9359
angles (deg): 90.00 124.58 90.00
With the nearest neighbours (Å) after each atom.
Positions (direct):
1 Sb 0.0000 0.0000 0.0000  6 Pd 2.77-2.78
2 Sb 0.5000 0.5000 0.0000  6 Pd 2.77-2.78
3 Pd 0.0000 0.5000 0.5000  6 Sb 2.77-2.78
4 Pd 0.5000 0.0000 0.5000  6 Sb 2.77-2.78

Results
The final energy is -4.910 eV per atom. The value obtained for the uncorrected formation energy is -0.2527 eV per atom. Its symmetry is C2/m, No. 12. As for the theoretical density: 8.88 g cm⁻³. For the total magnetic moment, the calculation gives 0.0 μB per cell.

---

# 4
The following is a DFT calculation (GGA-PBE) of a relaxed SbPd crystal.

a b c (Å): 3.4115 3.4115 3.4115
angles (deg): 90.00 90.00 90.00
With the nearest neighbours (Å) after each atom.
Positions (direct):
1 Sb 0.0000 0.0000 0.0000  8 Pd 2.95
2 Pd 0.5000 0.5000 0.5000  8 Sb 2.95

Results
The final energy is -4.916 eV per atom. The value obtained for the uncorrected formation energy is -0.2584 eV per atom. Its symmetry is Pm-3m, No. 221. As for the theoretical density: 9.54 g cm⁻³. For the total magnetic moment, the calculation gives 0.0 μB per cell.

---

# 5
The following is a DFT calculation (GGA-PBE) of a relaxed SbPd crystal.

a b c (Å): 3.4119 3.4119 12.0669
angles (deg): 90.00 90.00 120.00
With the nearest neighbours (Å) after each atom.
Positions (direct):
1 Sb 0.0000 0.0000 0.0000  6 Pd 2.82
2 Sb 0.3333 0.6667 0.6667  6 Pd 2.82
3 Sb 0.6667 0.3333 0.3333  6 Pd 2.82
4 Pd 0.0000 0.0000 0.5000  6 Sb 2.82
5 Pd 0.3333 0.6667 0.1667  6 Sb 2.82
6 Pd 0.6667 0.3333 0.8333  6 Sb 2.82

Results
The final energy is -4.929 eV per atom. The value obtained for the uncorrected formation energy is -0.2714 eV per atom. Its symmetry is R-3m, No. 166. As for the theoretical density: 9.34 g cm⁻³. For the total magnetic moment, the calculation gives 0.0 μB per cell.

---

# 6
The following is a DFT calculation (GGA-PBE) of a relaxed SbPd4 crystal.

a b c (Å): 3.6493 3.6493 13.7496
angles (deg): 90.00 90.00 90.00
With the nearest neighbours (Å) after each atom.
Positions (direct):
1 Sb 0.0000 0.0000 0.0000  8 Pd 2.92
2 Sb 0.5000 0.5000 0.5000  8 Pd 2.92
3 Pd 0.0000 0.0000 0.4011  5 Pd 2.72-2.77, 4 Sb 2.92
4 Pd 0.0000 0.0000 0.5989  5 Pd 2.72-2.77, 4 Sb 2.92
5 Pd 0.0000 0.5000 0.2500  8 Pd 2.58-2.77
6 Pd 0.0000 0.5000 0.7500  8 Pd 2.58-2.77
7 Pd 0.5000 0.0000 0.2500  8 Pd 2.58-2.77
8 Pd 0.5000 0.0000 0.7500  8 Pd 2.58-2.77
9 Pd 0.5000 0.5000 0.0989  5 Pd 2.72-2.77, 4 Sb 2.92
10 Pd 0.5000 0.5000 0.9011  5 Pd 2.72-2.77, 4 Sb 2.92

Results
The final energy is -4.959 eV per atom. The value obtained for the uncorrected formation energy is 0.0198 eV per atom. Its symmetry is I4/mmm, No. 139. As for the theoretical density: 9.93 g cm⁻³. For the total magnetic moment, the calculation gives 0.0 μB per cell. The energy above the lowest structure with this stoichiometry is 6.91 kcal/mol of atoms.

---

# 7
The following is a DFT calculation (GGA-PBE) of a relaxed Sb2Pd crystal.

a b c (Å): 6.5631 6.5631 6.5631
angles (deg): 90.00 90.00 90.00
With the nearest neighbours (Å) after each atom.
Positions (direct):
1 Sb 0.1269 0.1269 0.1269  3 Pd 2.72, 1 Sb 2.89
2 Sb 0.1269 0.3731 0.6269  3 Pd 2.72, 1 Sb 2.89
3 Sb 0.3731 0.6269 0.1269  3 Pd 2.72, 1 Sb 2.89
4 Sb 0.3731 0.8731 0.6269  3 Pd 2.72, 1 Sb 2.89
5 Sb 0.6269 0.1269 0.3731  3 Pd 2.72, 1 Sb 2.89
6 Sb 0.6269 0.3731 0.8731  3 Pd 2.72, 1 Sb 2.89
7 Sb 0.8731 0.6269 0.3731  3 Pd 2.72, 1 Sb 2.89
8 Sb 0.8731 0.8731 0.8731  3 Pd 2.72, 1 Sb 2.89
9 Pd 0.0000 0.0000 0.5000  6 Sb 2.72
10 Pd 0.0000 0.5000 0.0000  6 Sb 2.72
11 Pd 0.5000 0.0000 0.0000  6 Sb 2.72
12 Pd 0.5000 0.5000 0.5000  6 Sb 2.72

Results
The final energy is -4.833 eV per atom. The value obtained for the uncorrected formation energy is -0.3540 eV per atom. Its symmetry is Pa-3, No. 205. As for the theoretical density: 8.22 g cm⁻³. For the total magnetic moment, the calculation gives 0.0 μB per cell.

---

# 8
The following is a DFT calculation (GGA-PBE) of a relaxed SbPd crystal.

a b c (Å): 4.6442 4.6442 5.4225
angles (deg): 90.00 90.00 120.00
With the nearest neighbours (Å) after each atom.
Positions (direct):
1 Sb 0.3333 0.6667 0.2500  5 Pd 2.68-2.71
2 Sb 0.6667 0.3333 0.7500  5 Pd 2.68-2.71
3 Pd 0.3333 0.6667 0.7500  5 Sb 2.68-2.71
4 Pd 0.6667 0.3333 0.2500  5 Sb 2.68-2.71

Results
The final energy is -4.843 eV per atom. The value obtained for the uncorrected formation energy is -0.1849 eV per atom. Its symmetry is P6_3/mmc, No. 194. As for the theoretical density: 7.48 g cm⁻³. For the total magnetic moment, the calculation gives 0.0 μB per cell.

---

# 9
The following is a DFT calculation (GGA-PBE) of a relaxed SbPd crystal.

a b c (Å): 6.0112 6.0112 6.0112
angles (deg): 90.00 90.00 90.00
With the nearest neighbours (Å) after each atom.
Positions (direct):
1 Sb 0.0000 0.0000 0.0000  4 Pd 2.60
2 Sb 0.0000 0.5000 0.5000  4 Pd 2.60
3 Sb 0.5000 0.0000 0.5000  4 Pd 2.60
4 Sb 0.5000 0.5000 0.0000  4 Pd 2.60
5 Pd 0.2500 0.2500 0.2500  4 Sb 2.60
6 Pd 0.2500 0.7500 0.7500  4 Sb 2.60
7 Pd 0.7500 0.2500 0.7500  4 Sb 2.60
8 Pd 0.7500 0.7500 0.2500  4 Sb 2.60

Results
The final energy is -4.715 eV per atom. The value obtained for the uncorrected formation energy is -0.0575 eV per atom. Its symmetry is F-43m, No. 216. As for the theoretical density: 6.98 g cm⁻³. For the total magnetic moment, the calculation gives 0.0 μB per cell.

---

# 10
The following is a DFT calculation (GGA-PBE) of a relaxed SbPd4 crystal.

a b c (Å): 4.8825 4.8825 4.8825
angles (deg): 90.00 90.00 90.00
With the nearest neighbours (Å) after each atom.
Positions (direct):
1 Sb 0.0000 0.0000 0.0000  6 Pd 2.44
2 Pd 0.0000 0.0000 0.5000  2 Sb 2.44
3 Pd 0.0000 0.5000 0.0000  2 Sb 2.44
4 Pd 0.5000 0.0000 0.0000  2 Sb 2.44
5 Pd 0.5000 0.5000 0.5000  12 Pd 3.45

Results
The final energy is -4.353 eV per atom. The value obtained for the uncorrected formation energy is 0.6253 eV per atom. Its symmetry is Pm-3m, No. 221. As for the theoretical density: 7.81 g cm⁻³. For the total magnetic moment, the calculation gives 0.0 μB per cell. The energy above the lowest structure with this stoichiometry is 20.87 kcal/mol of atoms.

---

# 11
The following is a DFT calculation (GGA-PBE) of a relaxed SbPd crystal.

a b c (Å): 3.6072 4.2954 5.4760
angles (deg): 90.00 109.01 90.00
With the nearest neighbours (Å) after each atom.
Positions (direct):
1 Sb 0.1413 0.2500 0.2837  7 Pd 2.77-3.01
2 Sb 0.8587 0.7500 0.7163  7 Pd 2.77-3.01
3 Pd 0.4092 0.2500 0.8196  7 Sb 2.77-3.01, 2 Pd 2.85
4 Pd 0.5908 0.7500 0.1804  7 Sb 2.77-3.01, 2 Pd 2.85

Results
The final energy is -5.018 eV per atom. The value obtained for the uncorrected formation energy is -0.3609 eV per atom. Its symmetry is P2_1/m, No. 11. As for the theoretical density: 9.45 g cm⁻³. For the total magnetic moment, the calculation gives 0.0 μB per cell.

---

# 12
The following is a DFT calculation (GGA-PBE) of a relaxed SbPd crystal.

a b c (Å): 9.2928 9.2928 4.3151
angles (deg): 90.00 90.00 90.00
With the nearest neighbours (Å) after each atom.
Positions (direct):
1 Sb 0.1160 0.2152 0.0000  4 Pd 2.64-2.86
2 Sb 0.2152 0.8840 0.0000  4 Pd 2.64-2.86
3 Sb 0.2848 0.6160 0.5000  4 Pd 2.64-2.86
4 Sb 0.3840 0.2848 0.5000  4 Pd 2.64-2.86
5 Sb 0.6160 0.7152 0.5000  4 Pd 2.64-2.86
6 Sb 0.7152 0.3840 0.5000  4 Pd 2.64-2.86
7 Sb 0.7848 0.1160 0.0000  4 Pd 2.64-2.86
8 Sb 0.8840 0.7848 0.0000  4 Pd 2.64-2.86
9 Pd 0.0903 0.3774 0.5000  4 Sb 2.64-2.86, 5 Pd 2.83-2.94
10 Pd 0.1226 0.5903 0.0000  4 Sb 2.64-2.86, 5 Pd 2.83-2.94
11 Pd 0.3774 0.9097 0.5000  4 Sb 2.64-2.86, 5 Pd 2.83-2.94
12 Pd 0.4097 0.1226 0.0000  4 Sb 2.64-2.86, 5 Pd 2.83-2.94
13 Pd 0.5903 0.8774 0.0000  4 Sb 2.64-2.86, 5 Pd 2.83-2.94
14 Pd 0.6226 0.0903 0.5000  4 Sb 2.64-2.86, 5 Pd 2.83-2.94
15 Pd 0.8774 0.4097 0.0000  4 Sb 2.64-2.86, 5 Pd 2.83-2.94
16 Pd 0.9097 0.6226 0.5000  4 Sb 2.64-2.86, 5 Pd 2.83-2.94

Results
The final energy is -4.917 eV per atom. The value obtained for the uncorrected formation energy is -0.2598 eV per atom. Its symmetry is I4/m, No. 87. As for the theoretical density: 8.13 g cm⁻³. For the total magnetic moment, the calculation gives 0.0 μB per cell.

---

The calculation returns the following N(E_F) values, one per record and in order: 2.77; 0.71; 0.93; 1.31; 1.23; 4.17; 0.51; 1.03; 1.23; 6.30; 0.79; 0.97 states/eV/f.u..